Record 1
The following is a DFT calculation (GGA-PBEsol) of a relaxed In2AuSe crystal.

a b c (Å): 4.0190 5.3158 5.3158
angles (deg): 67.97 67.79 67.79
With the nearest neighbours (Å) after each atom.
Element x y z (fractional)
In 0.2586 0.7414 0.7414  2 Au 2.76, 2 Se 2.86
Se 0.5000 0.0000 0.0000  4 In 2.86
Au 0.0000 0.5000 0.5000  4 In 2.76
In 0.7414 0.2586 0.2586  2 Au 2.76, 2 Se 2.86

The calculation puts the formation energy (no corrections) at -35 kJ/mol of formula units.

Record 2
The following is a DFT calculation (GGA-PBEsol) of a relaxed BeZnSeBr2 crystal.

a b c (Å): 4.8926 4.8926 5.0764
angles (deg): 90.00 90.00 90.00
With the nearest neighbours (Å) after each atom.
Element x y z (fractional)
Zn 0.0000 0.0000 0.0000  4 Br 2.45, 2 Se 2.54
Br 0.5000 0.0000 0.0000  2 Zn 2.45
Br 0.0000 0.5000 0.0000  2 Zn 2.45
Be 0.5000 0.5000 0.5000  4 Se 3.46, 8 Br 3.53
Se 0.0000 0.0000 0.5000  2 Zn 2.54

The calculation puts the formation energy (no corrections) at 217 kJ/mol of formula units.

Record 3
The following is a DFT calculation (GGA-PBEsol) of a relaxed FeCo2Se4 crystal.

a b c (Å): 3.5042 5.9945 6.0510
angles (deg): 117.31 106.83 90.00
With the nearest neighbours (Å) after each atom.
Element x y z (fractional)
Fe 0.7389 0.7106 0.4779  6 Se 2.32-2.46
Co 0.9980 0.9984 0.9960  6 Se 2.37-2.41, 1 Fe 2.65
Se 0.3631 0.0208 0.7263  3 Co 2.39-2.40, 2 Fe 2.46
Se 0.8857 0.5474 0.7713  3 Co 2.31-2.37, 1 Fe 2.33
Se 0.6352 0.9791 0.2704  4 Co 2.41-2.47, 1 Fe 2.43
Co 0.2637 0.2913 0.5275  6 Se 2.31-2.47
Se 0.1153 0.4524 0.2306  2 Fe 2.32, 2 Co 2.34-2.39

The calculation puts the formation energy (no corrections) at -214 kJ/mol of formula units.

Record 4
The following is a DFT calculation (GGA-PBEsol) of a relaxed MgRh3 crystal.

a b c (Å): 2.7191 4.6613 4.6613
angles (deg): 109.16 90.00 90.00
With the nearest neighbours (Å) after each atom.
Element x y z (fractional)
Rh 0.0000 0.5000 0.5000  10 Rh 2.70-2.72, 2 Mg 2.70
Mg 0.0000 0.0000 0.0000  10 Rh 2.70, 2 Mg 2.72
Rh 0.5000 0.0000 0.5000  8 Rh 2.70-2.72, 4 Mg 2.70
Rh 0.5000 0.5000 0.0000  4 Mg 2.70, 8 Rh 2.70-2.72

The value obtained for the energy relative to the elements is -0.192 eV/atom.

Record 5
The following is a DFT calculation (GGA-PBEsol) of a relaxed Nd4CdPd crystal.

a b c (Å): 9.8185 9.8185 9.8185
angles (deg): 60.00 60.00 60.00
With the nearest neighbours (Å) after each atom.
Element x y z (fractional)
Nd 0.6480 0.6480 0.6480  3 Pd 2.89
Pd 0.4318 0.8561 0.8561  6 Nd 2.89-2.91
Nd 0.4359 0.0641 0.4359  2 Cd 3.35, 2 Pd 3.56, 10 Nd 3.56-3.67
Nd 0.6480 0.0561 0.6480  3 Pd 2.89
Nd 0.8064 0.1936 0.1936  2 Pd 2.91
Cd 0.4203 0.7391 0.4203  3 Cd 3.13, 6 Nd 3.35-3.43
Pd 0.8561 0.4318 0.8561  6 Nd 2.89-2.91
Nd 0.0641 0.4359 0.4359  2 Cd 3.35, 2 Pd 3.56, 10 Nd 3.56-3.67
Nd 0.0641 0.4359 0.0641  2 Cd 3.35, 2 Pd 3.56, 10 Nd 3.56-3.67
Nd 0.1936 0.8064 0.8064  2 Pd 2.91
Pd 0.8561 0.8561 0.8561  6 Nd 2.89-2.91
Cd 0.4203 0.4203 0.4203  3 Cd 3.13, 6 Nd 3.35-3.43
Cd 0.4203 0.4203 0.7391  3 Cd 3.13, 6 Nd 3.35-3.43
Nd 0.4359 0.0641 0.0641  2 Cd 3.35, 2 Pd 3.56, 10 Nd 3.56-3.67
Nd 0.1936 0.1936 0.8064  2 Pd 2.91
Nd 0.8064 0.8064 0.1936  2 Pd 2.91
Nd 0.0561 0.6480 0.6480  3 Pd 2.89
Nd 0.8064 0.1936 0.8064  2 Pd 2.91
Nd 0.0641 0.0641 0.4359  2 Cd 3.35, 2 Pd 3.56, 10 Nd 3.56-3.67
Nd 0.1936 0.8064 0.1936  2 Pd 2.91
Nd 0.4359 0.4359 0.0641  2 Cd 3.35, 2 Pd 3.56, 10 Nd 3.56-3.67
Cd 0.7391 0.4203 0.4203  3 Cd 3.13, 6 Nd 3.35-3.43
Pd 0.8561 0.8561 0.4318  6 Nd 2.89-2.91
Nd 0.6480 0.6480 0.0561  3 Pd 2.89

The value obtained for the energy relative to the elements is -0.391 eV/atom.

Record 6
The following is a DFT calculation (GGA-PBEsol) of a relaxed MnZn2Fe crystal.

a b c (Å): 2.6103 4.4584 4.4584
angles (deg): 108.64 90.00 90.00
With the nearest neighbours (Å) after each atom.
Element x y z (fractional)
Fe 0.5000 0.5000 0.5000  8 Zn 2.58, 2 Mn 2.60, 2 Fe 2.61
Mn 0.5000 0.0000 0.0000  8 Zn 2.58, 2 Fe 2.60, 2 Mn 2.61
Zn 0.0000 0.0000 0.5000  4 Fe 2.58, 4 Mn 2.58, 4 Zn 2.60-2.61
Zn 0.0000 0.5000 0.0000  4 Mn 2.58, 4 Fe 2.58, 4 Zn 2.60-2.61

The value obtained for the energy relative to the elements is 0.057 eV/atom.

Record 7
The following is a DFT calculation (GGA-PBEsol) of a relaxed Zn2CrPt crystal.

a b c (Å): 3.8637 3.8637 4.6113
angles (deg): 114.77 114.77 90.00
With the nearest neighbours (Å) after each atom.
Element x y z (fractional)
Zn 0.2500 0.7500 0.5000  4 Cr 2.68, 4 Zn 2.68, 4 Pt 2.73
Pt 0.7500 0.2500 0.5000  4 Cr 2.68, 8 Zn 2.68-2.73
Zn 0.5000 0.5000 0.0000  4 Pt 2.68, 4 Zn 2.68, 4 Cr 2.73
Cr 0.0000 0.0000 0.0000  4 Pt 2.68, 8 Zn 2.68-2.73

The value obtained for the energy relative to the elements is -0.113 eV/atom.

Record 8
The following is a DFT calculation (GGA-PBEsol) of a relaxed HfMn3Pt crystal.

a b c (Å): 4.6642 4.6642 4.6642
angles (deg): 90.00 90.00 90.00
With the nearest neighbours (Å) after each atom.
Element x y z (fractional)
Pt 0.0000 0.0000 0.0000  6 Mn 2.33
Mn 0.0000 0.5000 0.0000  2 Pt 2.33
Hf 0.5000 0.5000 0.5000  12 Mn 3.30
Mn 0.5000 0.0000 0.0000  2 Pt 2.33
Mn 0.0000 0.0000 0.5000  2 Pt 2.33

The value obtained for the energy relative to the elements is 1.083 eV/atom.

Record 9
The following is a DFT calculation (GGA-PBEsol) of a relaxed CoW crystal.

a b c (Å): 2.9812 3.1572 5.4810
angles (deg): 90.00 90.00 90.00
With the nearest neighbours (Å) after each atom.
Element x y z (fractional)
Co 0.5000 0.5000 0.3770  5 W 2.48-2.55, 4 Co 2.56
W 0.5000 0.5000 0.8426  5 Co 2.48-2.55, 4 W 2.77
W 0.0000 0.0000 0.1574  5 Co 2.48-2.55, 4 W 2.77
Co 0.0000 0.0000 0.6230  5 W 2.48-2.55, 4 Co 2.56

The value obtained for the energy relative to the elements is 0.102 eV/atom.

Record 10
The following is a DFT calculation (GGA-PBEsol) of a relaxed SrMn2Fe crystal.

a b c (Å): 4.0832 4.0832 4.1429
angles (deg): 90.00 90.00 90.00
With the nearest neighbours (Å) after each atom.
Element x y z (fractional)
Sr 0.5000 0.5000 0.5000  4 Fe 2.89, 8 Mn 2.91
Mn 0.0000 0.5000 0.0000  4 Mn 2.89, 4 Fe 2.91, 4 Sr 2.91
Fe 0.0000 0.0000 0.5000  4 Sr 2.89, 8 Mn 2.91
Mn 0.5000 0.0000 0.0000  4 Mn 2.89, 4 Fe 2.91, 4 Sr 2.91

The value obtained for the energy relative to the elements is 1.018 eV/atom.

Record 11
The following is a DFT calculation (GGA-PBEsol) of a relaxed Si2IrW crystal.

a b c (Å): 2.8318 4.4705 4.7020
angles (deg): 106.40 107.53 90.00
With the nearest neighbours (Å) after each atom.
Element x y z (fractional)
Si 0.2522 0.6982 0.5044  3 W 2.48-2.56, 4 Ir 2.58-2.72, 2 Si 2.72
Si 0.9999 0.0578 0.9997  3 Ir 2.49-2.54, 4 W 2.61-2.68, 2 Si 2.72
W 0.5030 0.5692 0.0060  7 Si 2.48-2.68
Ir 0.7450 0.1748 0.4899  7 Si 2.49-2.72

The calculation puts the formation energy (no corrections) at -144 kJ/mol of formula units.

Record 12
The following is a DFT calculation (GGA-PBEsol) of a relaxed LaTa2Mn crystal.

a b c (Å): 3.2316 4.6364 5.0040
angles (deg): 90.00 90.00 90.00
With the nearest neighbours (Å) after each atom.
Element x y z (fractional)
La 0.5000 0.0000 0.5000  4 Mn 2.83, 4 Ta 2.98
Ta 0.0000 0.0000 0.0000  4 Ta 2.83, 4 La 2.98
Ta 0.5000 0.5000 0.0000  4 Ta 2.83, 4 Mn 2.98
Mn 0.0000 0.5000 0.5000  4 La 2.83, 4 Ta 2.98

The value obtained for the energy relative to the elements is 0.602 eV/atom.